DFT (PBE) results for a relaxed TbRhS crystal.

Raw formation energy   -1.270 eV per atom
Crystal system   trigonal

a = 3.623 Å, b = 4.162 Å, c = 4.162 Å
α = 120.00°, β = 90.00°, γ = 90.00°
Fractional coordinates of all 3 atoms:
Rh (0.168, 0.000, 0.000)
S (0.165, 0.333, 0.667)
Tb (0.667, 0.667, 0.333)